# PBE with a Hubbard U TlCoTeO6, optimized geometry
# - Volume: 109.0 Å³/f.u.
# - Calculated total energy: -0.19811 hartree per atom
# - SG: P312 (149)
data_TlCoTeO6
_chemical_formula_sum 'Tl1 Co1 Te1 O6'
_symmetry_space_group_name_H-M 'P 1'
_symmetry_Int_Tables_number 1
_cell_length_a 5.097
_cell_length_b 5.097
_cell_length_c 4.844
_cell_angle_alpha 90.00
_cell_angle_beta 90.00
_cell_angle_gamma 60.00
loop_
_symmetry_equiv_pos_as_xyz
'x,y,z'
loop_
_atom_site_label
_atom_site_type_symbol
_atom_site_fract_x
_atom_site_fract_y
_atom_site_fract_z
Tl1 Tl 0.000 0.000 0.000
O1 O 0.373 0.994 0.722
Co1 Co 0.667 0.667 0.500
O2 O 0.633 0.994 0.278
O3 O 0.373 0.633 0.278
O4 O 0.633 0.373 0.722
Te1 Te 0.333 0.333 0.500
O5 O 0.994 0.373 0.278
O6 O 0.994 0.633 0.722